DFT (PBE) results for a geometry-optimized AcSn5Rh structure.

The value obtained for the energy of formation is -423 meV/atom. The symmetry is P4/mmm. The value obtained for the density of states at the Fermi level is 3.1 states/eV per cell.

Unit cell a=4.7939 b=4.7939 c=7.9799 alpha=90.00 beta=90.00 gamma=90.00
Atoms (fractional coordinates):
Ac1 0.0000 0.0000 0.0000
Sn1 0.0000 0.5000 0.3108
Sn2 0.0000 0.5000 0.6892
Sn3 0.5000 0.0000 0.3108
Sn4 0.5000 0.0000 0.6892
Sn5 0.5000 0.5000 0.0000
Rh1 0.0000 0.0000 0.5000